! CaReNi2 | Alexandria | PBE-GGA | relaxed; values from VASP
&SYSTEM
  ibrav = 0, nat = 4, ntyp = 3
/
ATOMIC_SPECIES
Ca 40.08 Ca.upf
Re 186.21 Re.upf
Ni 58.69 Ni.upf
CELL_PARAMETERS angstrom
2.721 0.000 0.000
0.000 3.581 0.000
0.000 0.000 6.528
ATOMIC_POSITIONS crystal
Ca 0.000 0.000 0.000
Re 0.000 0.000 0.500
Ni 0.500 0.500 0.312
Ni 0.500 0.500 0.688
! - polymorph energy (0 for the lowest one) (eV/atom) = 0.0000
! - ΔE_f (meV/atom) = 174.2
! - magnetic moment (Bohr magnetons per cell) = 0.00